Entry 1:
DFT (PBE) results for an optimized crystal structure of Ac4GeAs2P.

Unit cell a=4.5065 b=7.8957 c=7.8546 alpha=109.16 beta=90.00 gamma=90.00
With the nearest neighbours (Å) after each atom.
Element x y z (fractional)
Ac1 0.0000 0.7554 0.2509  1 P 3.18, 3 As 3.19-3.24, 2 Ge 3.23
Ac2 0.0000 0.2446 0.7491  1 P 3.18, 3 As 3.19-3.24, 2 Ge 3.23
Ac3 0.5000 0.7551 0.7538  2 P 3.18, 3 As 3.20-3.24, 1 Ge 3.22
Ac4 0.5000 0.2449 0.2462  2 P 3.18, 3 As 3.20-3.24, 1 Ge 3.22
As1 0.0000 0.5000 0.5000  6 Ac 3.24
As2 0.5000 0.0000 0.5000  6 Ac 3.19-3.20
P1 0.0000 0.0000 0.0000  6 Ac 3.18
Ge1 0.5000 0.5000 0.0000  6 Ac 3.22-3.23

***

Entry 2:
DFT (PBE) results for an optimized crystal structure of AcPaGeAs.

Unit cell a=5.2267 b=5.2267 c=5.2267 alpha=60.00 beta=60.00 gamma=60.00
With the nearest neighbours (Å) after each atom.
Element x y z (fractional)
Pa1 0.0000 0.0000 0.0000  4 Ge 3.20, 4 As 3.20
As1 0.7500 0.7500 0.7500  4 Ac 3.20, 4 Pa 3.20
Ge1 0.2500 0.2500 0.2500  4 Ac 3.20, 4 Pa 3.20
Ac1 0.5000 0.5000 0.5000  4 As 3.20, 4 Ge 3.20

***

Entry 3:
DFT (PBE) results for an optimized crystal structure of AcGeAsPb.

Unit cell a=5.3779 b=5.3779 c=5.3779 alpha=60.00 beta=60.00 gamma=60.00
With the nearest neighbours (Å) after each atom.
Element x y z (fractional)
Ge1 0.0000 0.0000 0.0000  4 Ac 3.29, 4 Pb 3.29
Ac1 0.2500 0.2500 0.2500  4 As 3.29, 4 Ge 3.29
Pb1 0.7500 0.7500 0.7500  4 Ge 3.29, 4 As 3.29
As1 0.5000 0.5000 0.5000  4 Ac 3.29, 4 Pb 3.29

***

Number 1: uncorrected energy -5.69 eV per atom, formation energy -1215 meV per atom. Number 2: uncorrected energy -6.24 eV per atom, formation energy -525 meV per atom. Number 3: uncorrected energy -4.62 eV per atom, formation energy -353 meV per atom.